(1)
An optimized crystal structure of TlInPb. Source: Alexandria, functional GGA-PBEsol.

Properties
Calculated formation energy (eV per formula unit): 0.03
ρ (g/cm3): 10.52
Energy relative to the lowest polymorph listed for this composition (meV per atom): 0.0

abc: 5.9190 5.9190 5.9190
angles: 146.51 132.90 59.02
Closest atoms and distances in Å follow each position.
Element x y z (fractional)
Tl1 0.0000 0.0000 0.0000  5 In 3.37-3.45, 5 Pb 3.39-3.40, 2 Tl 3.41
In1 0.6648 0.6648 0.0000  5 Pb 3.37-3.45, 5 Tl 3.37-3.45, 2 In 3.41
Pb1 0.3295 0.3295 0.0000  5 In 3.37-3.45, 5 Tl 3.39-3.40, 2 Pb 3.41

(2)
An optimized crystal structure of H2RhPbF. Source: Alexandria, functional GGA-PBEsol.

Properties
Energy (eV per atom): -3.56
ρ (g/cm3): 7.88

abc: 3.8137 3.8137 4.7995
angles: 90.00 90.00 90.00
Closest atoms and distances in Å follow each position.
Element x y z (fractional)
H1 0.0000 0.5000 0.0000  2 Pb 1.91
H2 0.5000 0.0000 0.0000  2 Pb 1.91
Rh1 0.0000 0.0000 0.5000  4 F 2.70
Pb1 0.5000 0.5000 0.0000  4 H 1.91
F1 0.5000 0.5000 0.5000  2 Pb 2.40

(3)
An optimized crystal structure of CaLaTe2. Source: Alexandria, functional GGA-PBEsol.

Properties
Uncorrected formation energy (eV/atom): -0.666
ρ (g/cm3): 6.32
Energy relative to the lowest polymorph listed for this composition (meV per atom): 933.0

abc: 5.4435 5.4435 5.4435
angles: 60.00 60.00 60.00
Closest atoms and distances in Å follow each position.
Element x y z (fractional)
Ca1 0.0000 0.0000 0.0000  4 Te 3.33, 4 La 3.33
La1 0.2500 0.2500 0.2500  4 Te 3.33, 4 Ca 3.33
Te1 0.5000 0.5000 0.5000  4 La 3.33, 4 Te 3.33
Te2 0.7500 0.7500 0.7500  4 Te 3.33, 4 Ca 3.33

(4)
An optimized crystal structure of RbSe2S2. Source: Alexandria, functional GGA-PBEsol.

Properties
Uncorrected formation energy (eV/atom): -0.214
ρ (g/cm3): 3.40

abc: 8.7796 8.7796 3.8956
angles: 90.00 90.00 90.00
Closest atoms and distances in Å follow each position.
Element x y z (fractional)
Rb1 0.0000 0.0000 0.0000  4 Se 3.34, 8 S 3.66
Rb2 0.5000 0.5000 0.0000  4 Se 3.34, 8 S 3.66
Se1 0.1500 0.3500 0.0000  2 S 2.30
Se2 0.3500 0.8500 0.0000  2 S 2.30
Se3 0.6500 0.1500 0.0000  2 S 2.30
Se4 0.8500 0.6500 0.0000  2 S 2.30
S1 0.2489 0.2511 0.5000  2 Se 2.30
S2 0.2511 0.7511 0.5000  2 Se 2.30
S3 0.7489 0.2489 0.5000  2 Se 2.30
S4 0.7511 0.7489 0.5000  2 Se 2.30

(5)
An optimized crystal structure of K4CdHg. Source: Alexandria, functional GGA-PBEsol.

Properties
Calculated formation energy (eV per formula unit): 1.53
ρ (g/cm3): 2.71

abc: 7.4060 7.4060 7.4060
angles: 60.00 60.00 60.00
Closest atoms and distances in Å follow each position.
Element x y z (fractional)
K1 0.1250 0.1250 0.1250  6 K 3.70
K2 0.1250 0.1250 0.6249  6 K 3.70
K3 0.1250 0.6249 0.1250  6 K 3.70
K4 0.6249 0.1250 0.1250  6 K 3.70
Cd1 0.5000 0.5000 0.5000  12 K 4.34, 4 Hg 4.54
Hg1 0.7500 0.7500 0.7500  12 K 4.34, 4 Cd 4.54

(6)
An optimized crystal structure of Sm3Si11Pt23. Source: Alexandria, functional GGA-PBEsol.

Properties
Uncorrected formation energy (eV/atom): -0.917
ρ (g/cm3): 14.64

abc: 11.8969 11.8969 11.8969
angles: 60.00 60.00 60.00
Closest atoms and distances in Å follow each position.
Element x y z (fractional)
Sm1 0.0000 0.0000 0.5000  8 Pt 3.13, 4 Si 3.43
Sm2 0.0000 0.5000 0.0000  8 Pt 3.13, 4 Si 3.43
Sm3 0.0000 0.5000 0.5000  8 Pt 3.13, 4 Si 3.43
Sm4 0.5000 0.0000 0.0000  8 Pt 3.13, 4 Si 3.43
Sm5 0.5000 0.0000 0.5000  8 Pt 3.13, 4 Si 3.43
Sm6 0.5000 0.5000 0.0000  8 Pt 3.13, 4 Si 3.43
Si1 0.1654 0.1654 0.1654  7 Pt 2.40-2.48
Si2 0.1654 0.1654 0.5038  7 Pt 2.40-2.48
Si3 0.1654 0.5038 0.1654  7 Pt 2.40-2.48
Si4 0.1707 0.1707 0.8293  8 Pt 2.43-2.47
Si5 0.1707 0.8293 0.1707  8 Pt 2.43-2.47
Si6 0.1707 0.8293 0.8293  8 Pt 2.43-2.47
Si7 0.1811 0.6063 0.6063  7 Pt 2.44-2.55
Si8 0.3937 0.3937 0.3937  7 Pt 2.44-2.55
Si9 0.3937 0.3937 0.8189  7 Pt 2.44-2.55
Si10 0.3937 0.8189 0.3937  7 Pt 2.44-2.55
Si11 0.4962 0.8346 0.8346  7 Pt 2.40-2.48
Si12 0.5038 0.1654 0.1654  7 Pt 2.40-2.48
Si13 0.6063 0.1811 0.6063  7 Pt 2.44-2.55
Si14 0.6063 0.6063 0.1811  7 Pt 2.44-2.55
Si15 0.6063 0.6063 0.6063  7 Pt 2.44-2.55
Si16 0.8189 0.3937 0.3937  7 Pt 2.44-2.55
Si17 0.8293 0.1707 0.1707  8 Pt 2.43-2.47
Si18 0.8293 0.1707 0.8293  8 Pt 2.43-2.47
Si19 0.8293 0.8293 0.1707  8 Pt 2.43-2.47
Si20 0.8346 0.4962 0.8346  7 Pt 2.40-2.48
Si21 0.8346 0.8346 0.4962  7 Pt 2.40-2.48
Si22 0.8346 0.8346 0.8346  7 Pt 2.40-2.48
Pt1 0.0749 0.3084 0.3084  4 Si 2.48-2.49, 6 Pt 2.72-2.78
Pt2 0.0830 0.0830 0.0830  4 Si 2.40-2.47
Pt3 0.0830 0.0830 0.7509  4 Si 2.40-2.47
Pt4 0.0833 0.4209 0.7479  3 Si 2.42-2.44
Pt5 0.0833 0.7479 0.4209  3 Si 2.42-2.44
Pt6 0.0833 0.7479 0.7479  3 Si 2.42-2.44
Pt7 0.0830 0.7509 0.0830  4 Si 2.40-2.47
Pt8 0.2491 0.9170 0.9170  4 Si 2.40-2.47
Pt9 0.2521 0.2521 0.5791  3 Si 2.42-2.44
Pt10 0.2521 0.2521 0.9167  3 Si 2.42-2.44
Pt11 0.2521 0.5791 0.2521  3 Si 2.42-2.44
Pt12 0.2521 0.5791 0.9167  3 Si 2.42-2.44
Pt13 0.2521 0.9167 0.2521  3 Si 2.42-2.44
Pt14 0.2521 0.9167 0.5791  3 Si 2.42-2.44
Pt15 0.3084 0.0749 0.3084  4 Si 2.48-2.49, 6 Pt 2.72-2.78
Pt16 0.3084 0.3084 0.0749  4 Si 2.48-2.49, 6 Pt 2.72-2.78
Pt17 0.3084 0.3084 0.3084  4 Si 2.48-2.49, 6 Pt 2.72-2.78
Pt18 0.3746 0.3746 0.6254  4 Si 2.55
Pt19 0.3746 0.6254 0.3746  4 Si 2.55
Pt20 0.3746 0.6254 0.6254  4 Si 2.55
Pt21 0.4209 0.0833 0.7479  3 Si 2.42-2.44
Pt22 0.4209 0.7479 0.0833  3 Si 2.42-2.44
Pt23 0.4209 0.7479 0.7479  3 Si 2.42-2.44
Pt24 0.5791 0.2521 0.2521  3 Si 2.42-2.44
Pt25 0.5791 0.2521 0.9167  3 Si 2.42-2.44
Pt26 0.5791 0.9167 0.2521  3 Si 2.42-2.44
Pt27 0.6254 0.3746 0.3746  4 Si 2.55
Pt28 0.6254 0.3746 0.6254  4 Si 2.55
Pt29 0.6254 0.6254 0.3746  4 Si 2.55
Pt30 0.6916 0.6916 0.6916  4 Si 2.48-2.49, 6 Pt 2.72-2.78
Pt31 0.6916 0.6916 0.9251  4 Si 2.48-2.49, 6 Pt 2.72-2.78
Pt32 0.6916 0.9251 0.6916  4 Si 2.48-2.49, 6 Pt 2.72-2.78
Pt33 0.7479 0.0833 0.4209  3 Si 2.42-2.44
Pt34 0.7479 0.0833 0.7479  3 Si 2.42-2.44
Pt35 0.7479 0.4209 0.0833  3 Si 2.42-2.44
Pt36 0.7479 0.4209 0.7479  3 Si 2.42-2.44
Pt37 0.7479 0.7479 0.0833  3 Si 2.42-2.44
Pt38 0.7479 0.7479 0.4209  3 Si 2.42-2.44
Pt39 0.7509 0.0830 0.0830  4 Si 2.40-2.47
Pt40 0.9170 0.2491 0.9170  4 Si 2.40-2.47
Pt41 0.9167 0.2521 0.2521  3 Si 2.42-2.44
Pt42 0.9167 0.2521 0.5791  3 Si 2.42-2.44
Pt43 0.9167 0.5791 0.2521  3 Si 2.42-2.44
Pt44 0.9170 0.9170 0.2491  4 Si 2.40-2.47
Pt45 0.9170 0.9170 0.9170  4 Si 2.40-2.47
Pt46 0.9251 0.6916 0.6916  4 Si 2.48-2.49, 6 Pt 2.72-2.78

(7)
An optimized crystal structure of MgTa2W2. Source: Alexandria, functional GGA-PBEsol.

Properties
Calculated formation energy (eV per formula unit): 4.72
ρ (g/cm3): 12.97

abc: 7.2526 7.2526 7.2526
angles: 149.75 149.75 43.30
Closest atoms and distances in Å follow each position.
Element x y z (fractional)
Mg1 0.0000 0.0000 0.0000  8 Ta 3.02
Ta1 0.3966 0.3966 0.0000  4 W 2.74, 1 Ta 2.79, 4 Mg 3.02
Ta2 0.6034 0.6034 0.0000  4 W 2.74, 1 Ta 2.79, 4 Mg 3.02
W1 0.2500 0.7500 0.5000  4 W 2.68, 4 Ta 2.74
W2 0.7500 0.2500 0.5000  4 W 2.68, 4 Ta 2.74

(8)
An optimized crystal structure of CrCdAs2. Source: Alexandria, functional GGA-PBEsol.

Properties
Calculated formation energy (eV per formula unit): 0.75
ρ (g/cm3): 6.91

abc: 6.2371 6.2371 6.2371
angles: 153.73 135.10 52.77
Closest atoms and distances in Å follow each position.
Element x y z (fractional)
Cr1 0.0000 0.0000 0.0000  4 As 2.38
Cd1 0.5000 0.5000 0.0000  4 Cr 2.77, 2 Cd 2.84, 4 As 3.05
As1 0.1709 0.6709 0.5000  2 Cr 2.38
As2 0.8291 0.3291 0.5000  2 Cr 2.38